#1
Material: Li2CoC2O6
Method: DFT, GGA+U
State: relaxed

```
22
Lattice="5.238 0.000 0.000 0.000 7.428 0.000 -2.908 0.000 7.450" Properties=species:S:1:pos:R:3 pbc="T T T"
Li -0.150 1.107 1.116
Li -1.604 2.607 4.841
Li 3.934 4.821 2.609
Li 2.480 6.321 6.334
Co 2.619 0.000 0.000
Co 1.165 3.714 3.725
C -0.097 5.222 5.345
C 1.357 5.919 1.620
C 0.973 1.508 5.830
C 2.427 2.206 2.105
O -0.691 4.347 4.567
O 0.763 6.795 0.842
O 0.638 5.140 2.347
O -0.815 6.002 6.072
O -0.319 1.527 5.860
O 1.135 2.187 2.135
O 1.195 5.241 5.315
O 2.649 5.901 1.590
O 3.145 1.426 1.378
O 1.692 2.288 5.103
O 1.567 0.633 6.608
O 3.021 3.081 2.883
```

Magnetic moment   6.0 μB per cell

#2
Material: Li2CoC2O6
Method: DFT, GGA+U
State: relaxed

```
22
Lattice="5.075 0.000 0.000 1.881 6.013 0.000 0.422 0.245 7.819" Properties=species:S:1:pos:R:3 pbc="T T T"
Li 0.000 0.000 0.000
Li 1.398 1.556 4.375
Li 3.539 5.178 2.175
Li 3.944 3.259 6.275
Co 1.426 2.979 1.420
Co 3.691 0.247 5.135
C 2.639 0.994 7.312
C 4.039 2.635 3.287
C 6.293 5.538 2.896
C 6.193 3.931 6.916
O 2.139 5.872 3.745
O 2.389 4.065 7.183
O 1.849 0.770 6.296
O 1.735 0.886 0.686
O 3.286 3.134 2.372
O 3.506 2.217 4.425
O 5.055 5.645 3.256
O 3.917 1.029 7.061
O 5.444 3.380 7.816
O 5.651 4.314 5.804
O 5.324 2.567 3.132
O 6.609 5.092 1.718
```

Magnetic moment   6.0 μB per cell

Stability comparison, relative energies in kJ/mol of atoms: #1 0.0; #2 4.1

#1
Material: Li3CoPCO7
Method: DFT, GGA+U
State: relaxed

```
26
Lattice="5.009 0.000 0.000 0.000 6.418 0.000 -0.862 0.000 8.430" Properties=species:S:1:pos:R:3 pbc="T T T"
Li 0.935 1.604 0.885
Li 0.728 3.299 6.132
Li 0.728 6.328 6.132
Li 3.420 0.090 2.298
Li 3.420 3.119 2.298
Li 3.213 4.813 7.545
Co 0.746 4.813 2.813
Co 3.401 1.604 5.617
P 0.997 1.604 3.479
P 3.151 4.813 4.950
C 1.581 4.813 0.342
C 2.567 1.604 8.088
O 0.307 4.813 0.565
O 0.550 0.398 2.596
O 0.550 2.811 2.596
O 0.337 1.604 4.869
O 1.207 4.813 7.570
O 1.600 4.813 4.774
O 1.768 1.604 7.047
O 2.379 4.813 1.383
O 2.547 1.604 3.656
O 2.941 1.604 0.860
O 3.810 4.813 3.561
O 3.597 3.607 5.834
O 3.597 6.020 5.834
O 3.840 1.604 7.865
```

Magnetic moment   6.1 μB per cell

#2
Material: Li3CoPCO7
Method: DFT, GGA+U
State: relaxed

```
26
Lattice="4.996 0.000 0.000 0.000 6.686 0.000 -0.458 0.000 8.685" Properties=species:S:1:pos:R:3 pbc="T T T"
Li 0.745 0.000 0.882
Li 0.813 1.732 3.129
Li 1.351 3.291 6.067
Li 3.186 6.634 2.618
Li 3.725 5.075 5.556
Li 3.793 3.343 7.803
Co 1.363 0.091 6.190
Co 3.175 3.434 2.495
P 0.653 5.060 3.632
P 3.884 1.717 5.053
C 1.714 2.603 0.321
C 2.823 5.946 8.365
O 0.438 1.628 5.286
O 0.812 5.129 5.205
O 0.716 2.878 7.875
O 1.126 1.885 1.207
O 1.226 6.302 2.923
O 1.316 3.749 3.172
O 1.612 6.428 8.104
O 2.925 3.085 0.582
O 3.221 0.406 5.514
O 3.312 2.959 5.762
O 3.412 5.228 7.479
O 3.822 6.221 0.811
O 3.726 1.787 3.480
O 4.099 4.971 3.399
```

Magnetic moment   5.8 μB per cell

Stability comparison, relative energies in kJ/mol of atoms: #1 0.7; #2 0.0